w) An optimized crystal structure of YTaS3, computed with GGA-PBE.

a b c (Å): 5.0773 5.0773 5.0773
angles (deg): 90.00 90.00 90.00
Atoms (fractional coordinates):
Y1 0.0000 0.0000 0.0000
Ta1 0.5000 0.5000 0.5000
S1 0.0000 0.0000 0.5000
S2 0.0000 0.5000 0.0000
S3 0.5000 0.0000 0.0000

## Properties
The symmetry is Pm-3m.

=====

x) An optimized crystal structure of YTaS3, computed with GGA-PBE.

a b c (Å): 3.5643 7.0192 8.4692
angles (deg): 79.27 77.92 75.30
Atoms (fractional coordinates):
Y1 0.0877 0.2347 0.0889
Y2 0.9123 0.7653 0.9111
Ta1 0.2503 0.3812 0.6194
Ta2 0.7497 0.6188 0.3806
S1 0.1050 0.7458 0.5435
S2 0.3231 0.0455 0.8078
S3 0.3915 0.5490 0.1658
S4 0.6085 0.4510 0.8342
S5 0.6769 0.9545 0.1922
S6 0.8950 0.2542 0.4565

## Properties
The symmetry is P-1.

=====

The winner here is x), beating the second structure by 1760 meV/atom.